(1)
A plane-wave DFT calculation with PBE was carried out for ZrMnTc after structural relaxation.

The structure in extended XYZ format:
```
3
Lattice="4.349 0.000 0.000 -2.174 3.766 0.000 0.000 0.000 2.992" Properties=species:S:1:pos:R:3 pbc="T T T"
Zr 0.000 0.000 0.000
Mn 0.000 2.511 1.208
Tc 2.174 1.255 1.914
```

## Properties
- polymorph energy (0 for the lowest one) (kJ per mole of atoms) = 36.25
- E_tot (Ry per atom) = -0.67983
- M_tot (μB/atom) = 0.67
- DFT formation energy (eV/atom) = 0.112

---

(2)
A plane-wave DFT calculation with PBE was carried out for ZrMnTc2 after structural relaxation.

The structure in extended XYZ format:
```
4
Lattice="2.821 0.000 0.000 0.000 4.376 0.000 -1.044 0.000 5.133" Properties=species:S:1:pos:R:3 pbc="T T T"
Zr 0.000 0.000 0.000
Mn 1.712 2.188 1.315
Tc -0.073 2.188 3.704
Tc 0.886 0.000 2.576
```

## Properties
- E_tot (Ry per atom) = -0.70291
- M_tot (μB/atom) = 0.58
- DFT formation energy (eV/atom) = 0.049

---

(3)
A plane-wave DFT calculation with PBE was carried out for Zr6MnTc5 after structural relaxation.

The structure in extended XYZ format:
```
12
Lattice="7.371 -3.301 0.000 7.371 3.301 0.000 -1.469 0.000 4.423" Properties=species:S:1:pos:R:3 pbc="T T T"
Zr 4.394 1.672 1.464
Zr 7.371 1.688 0.000
Zr 8.878 1.672 2.959
Zr 4.394 -1.672 1.464
Zr 7.371 -1.688 0.000
Zr 8.878 -1.672 2.959
Mn 6.636 0.000 2.212
Tc -0.735 0.000 2.212
Tc 2.219 0.000 0.741
Tc 3.749 0.000 3.705
Tc 9.523 0.000 0.718
Tc 11.053 0.000 3.683
```

## Properties
- E_tot (Ry per atom) = -0.71085
- M_tot (μB/atom) = 0.25
- DFT formation energy (eV/atom) = -0.314

---

(4)
A plane-wave DFT calculation with PBE was carried out for Zr2MnTc after structural relaxation.

The structure in extended XYZ format:
```
4
Lattice="1.582 0.914 8.541 -1.582 0.914 8.541 0.000 -1.827 8.541" Properties=species:S:1:pos:R:3 pbc="T T T"
Zr 0.000 0.000 6.356
Zr 0.000 0.000 19.268
Mn 0.000 0.000 0.000
Tc 0.000 0.000 12.812
```

## Properties
- E_tot (Ry per atom) = -0.66212
- M_tot (μB/atom) = 0.60
- DFT formation energy (eV/atom) = 0.149

---

(5)
A plane-wave DFT calculation with PBE was carried out for ZrMnTc2 after structural relaxation.

The structure in extended XYZ format:
```
4
Lattice="3.182 0.000 0.000 0.000 3.182 0.000 0.000 0.000 6.223" Properties=species:S:1:pos:R:3 pbc="T T T"
Zr 0.000 0.000 0.000
Mn 0.000 0.000 3.111
Tc 1.591 1.591 1.708
Tc 1.591 1.591 4.515
```

## Properties
- E_tot (Ry per atom) = -0.70975
- M_tot (μB/atom) = 0.43
- DFT formation energy (eV/atom) = -0.044

---

(6)
A plane-wave DFT calculation with PBE was carried out for ZrMn8Tc3 after structural relaxation.

The structure in extended XYZ format:
```
12
Lattice="4.718 0.000 0.000 -2.359 4.086 0.000 0.000 0.000 7.792" Properties=species:S:1:pos:R:3 pbc="T T T"
Zr 0.000 0.000 0.000
Mn 0.000 1.325 5.321
Mn -1.212 3.424 5.321
Mn 0.000 2.724 3.445
Mn 0.000 2.724 7.344
Mn 2.359 0.049 1.514
Mn 1.222 2.018 1.514
Mn 1.212 3.424 5.321
Mn 3.496 2.018 1.514
Tc 0.000 0.000 2.949
Tc 2.359 1.362 3.932
Tc 2.359 1.362 6.696
```

## Properties
- E_tot (Ry per atom) = -0.69786
- M_tot (μB/atom) = 0.01
- DFT formation energy (eV/atom) = -0.078

---

Look up the E_tot of the sixth one. -0.69786 Ry per atom